Entry 1:
DFT (GGA-PBE) results for crystalline Mn2GeC at its relaxed geometry.

CIF file:
```
data_Mn2GeC
_symmetry_space_group_name_H-M 'P 1'
_symmetry_Int_Tables_number 1
_symmetry_space_group_name_Hall 'P 1'
_cell_length_a 2.9634
_cell_length_b 2.8560
_cell_length_c 5.2495
_cell_angle_alpha 90.00
_cell_angle_beta 103.31
_cell_angle_gamma 90.00
loop_
_atom_site_label
_atom_site_type_symbol
_atom_site_fract_x
_atom_site_fract_y
_atom_site_fract_z
_atom_site_occupancy
Mn1 Mn 0.6137 0.0000 0.7829 1
Mn2 Mn 0.3863 0.0000 0.2171 1
C1 C 0.5000 0.5000 0.0000 1
Ge1 Ge 0.0000 0.5000 0.5000 1
```

Values from the calculation:
**Space group**: P2/m (10)



Entry 2:
DFT (GGA-PBE) results for crystalline Mn4GeC at its relaxed geometry.

CIF file:
```
data_Mn4GeC
_symmetry_space_group_name_H-M 'P 1'
_symmetry_Int_Tables_number 1
_symmetry_space_group_name_Hall 'P 1'
_cell_length_a 4.6431
_cell_length_b 4.7458
_cell_length_c 6.7512
_cell_angle_alpha 97.54
_cell_angle_beta 110.08
_cell_angle_gamma 90.00
loop_
_atom_site_label
_atom_site_type_symbol
_atom_site_fract_x
_atom_site_fract_y
_atom_site_fract_z
_atom_site_occupancy
Mn1 Mn 0.4488 0.8090 0.2083 1
Ge1 Ge 0.1731 0.2500 0.0001 1
C1 C 0.5000 0.0000 0.5000 1
C2 C 0.0000 0.5000 0.5000 1
Mn2 Mn 0.2404 0.6909 0.7915 1
Mn3 Mn 0.7596 0.3091 0.2085 1
Mn4 Mn 0.0684 0.8219 0.3899 1
Ge2 Ge 0.8269 0.7500 0.9999 1
Mn5 Mn 0.5512 0.1910 0.7917 1
Mn6 Mn 0.6785 0.6782 0.6099 1
Mn7 Mn 0.3215 0.3218 0.3901 1
Mn8 Mn 0.9316 0.1781 0.6101 1
```

Values from the calculation:
**Distance to the lowest polymorph of the same formula**: 0.000 eV per atom
**Space group**: C2/c (15)



Entry 3:
DFT (GGA-PBE) results for crystalline Mn3GeC at its relaxed geometry.

CIF file:
```
data_Mn3GeC
_symmetry_space_group_name_H-M 'P 1'
_symmetry_Int_Tables_number 1
_symmetry_space_group_name_Hall 'P 1'
_cell_length_a 5.4978
_cell_length_b 5.4978
_cell_length_c 5.4978
_cell_angle_alpha 122.69
_cell_angle_beta 122.69
_cell_angle_gamma 85.39
loop_
_atom_site_label
_atom_site_type_symbol
_atom_site_fract_x
_atom_site_fract_y
_atom_site_fract_z
_atom_site_occupancy
C1 C 0.5000 0.5000 0.0000 1
Mn1 Mn 0.2500 0.2500 0.0000 1
C2 C 0.0000 0.0000 0.0000 1
Ge1 Ge 0.2500 0.7500 0.5000 1
Mn2 Mn 0.7500 0.7500 0.0000 1
Mn3 Mn 0.8143 0.3143 0.1285 1
Ge2 Ge 0.7500 0.2500 0.5000 1
Mn4 Mn 0.1857 0.6857 0.8715 1
Mn5 Mn 0.6857 0.8143 0.5000 1
Mn6 Mn 0.3143 0.1857 0.5000 1
```

Values from the calculation:
**Space group**: I4/mcm (140)



Entry 4:
DFT (GGA-PBE) results for crystalline Mn2GeC at its relaxed geometry.

CIF file:
```
data_Mn2GeC
_symmetry_space_group_name_H-M 'P 1'
_symmetry_Int_Tables_number 1
_symmetry_space_group_name_Hall 'P 1'
_cell_length_a 2.9445
_cell_length_b 2.9445
_cell_length_c 6.2055
_cell_angle_alpha 76.28
_cell_angle_beta 76.28
_cell_angle_gamma 60.00
loop_
_atom_site_label
_atom_site_type_symbol
_atom_site_fract_x
_atom_site_fract_y
_atom_site_fract_z
_atom_site_occupancy
Ge1 Ge 0.5000 0.5000 0.4999 1
Mn1 Mn 0.2752 0.2752 0.1745 1
Mn2 Mn 0.0577 0.0577 0.8268 1
C1 C 0.6671 0.6671 0.9987 1
```

Values from the calculation:
**Space group**: R3m (160)



no.,VASP energy (eV/atom),formation energy (meV/atom)
1,-7.77,278.5
2,-8.36,57.3
3,-8.35,-77.6
4,-8.08,-36.4